SrZn2W: optimized geometry, PBE-GGA.

abc: 2.964 2.964 8.693
angles: 90.00 90.00 90.04
Positions (direct):
Sr: 0.000 0.000 0.493
W: 0.500 0.500 0.799
Zn: 0.000 0.000 0.006
Zn: 0.500 0.500 0.202

Summary:
ΔH_f (0 K) ... 533 meV/atom
M_tot ... 0.00 μB/cell
Density of states at the Fermi level ... 0.48 states/eV/atom
ρ ... 8.7 Mg/m³
VASP energy ... -3.763 eV/atom
Energy above the lowest structure with this stoichiometry ... 0.63 eV per formula unit


MgTaNbAg2: optimized geometry, PBE-GGA.

abc: 5.206 4.761 5.206
angles: 90.00 90.00 90.00
Positions (direct):
Nb: 0.000 0.500 0.000
Mg: 0.500 0.500 0.500
Ag: 0.000 0.000 0.500
Ag: 0.500 0.000 0.000
Ta: 0.000 0.000 0.000

Summary:
ΔH_f (0 K) ... 1182 meV/atom
M_tot ... 0.00 μB/cell
Density of states at the Fermi level ... 0.76 states/eV/atom
ρ ... 6.6 Mg/m³
VASP energy ... -4.662 eV/atom


CsRbNiS2: optimized geometry, PBE-GGA.

abc: 6.986 5.574 7.658
angles: 90.00 90.00 90.00
Positions (direct):
Cs: 0.211 0.250 0.500
Cs: 0.789 0.750 0.500
Rb: 0.614 0.750 0.000
Rb: 0.386 0.250 0.000
Ni: 0.000 0.000 0.000
Ni: 0.000 0.500 0.000
S: 0.857 0.250 0.806
S: 0.857 0.250 0.194
S: 0.143 0.750 0.806
S: 0.143 0.750 0.194

Summary:
Energy relative to the elements, uncorrected ... -706 meV/atom
M_tot ... 0.00 μB/cell
Density of states at the Fermi level ... 0.01 states/eV/atom
ρ ... 3.8 Mg/m³
VASP energy ... -3.878 eV/atom


Pr3Zn3Pt8: optimized geometry, PBE-GGA.

abc: 4.340 8.402 8.402
angles: 70.87 75.03 75.03
Positions (direct):
Pr: 0.500 0.500 0.500
Pr: 0.801 0.199 0.199
Pr: 0.199 0.801 0.801
Zn: 0.500 0.000 0.000
Zn: 0.000 0.773 0.227
Zn: 0.000 0.227 0.773
Pt: 0.612 0.096 0.679
Pt: 0.388 0.904 0.321
Pt: 0.612 0.679 0.096
Pt: 0.388 0.321 0.904
Pt: 0.826 0.813 0.536
Pt: 0.174 0.187 0.464
Pt: 0.826 0.536 0.813
Pt: 0.174 0.464 0.187

Summary:
ΔH_f (0 K) ... -764 meV/atom
M_tot ... 0.00 μB/cell
Density of states at the Fermi level ... 0.46 states/eV/atom
ρ ... 13.2 Mg/m³
VASP energy ... -5.513 eV/atom


MgCdCu: optimized geometry, PBE-GGA.

abc: 3.802 5.032 6.376
angles: 99.05 107.34 90.00
Positions (direct):
Mg: 0.137 0.324 0.275
Mg: 0.863 0.676 0.725
Cd: 0.429 0.224 0.859
Cd: 0.571 0.776 0.141
Cu: 0.231 0.851 0.463
Cu: 0.769 0.149 0.537

Summary:
ΔH_f (0 K) ... -17 meV/atom
M_tot ... 0.00 μB/cell
Density of states at the Fermi level ... 0.28 states/eV/atom
ρ ... 5.8 Mg/m³
VASP energy ... -2.219 eV/atom
Energy above the lowest structure with this stoichiometry ... 0.15 eV per formula unit


Ta2RuSe: optimized geometry, PBE-GGA.

abc: 5.390 5.390 5.390
angles: 139.07 139.07 59.26
Positions (direct):
Ru: 0.500 0.500 0.000
Se: 0.750 0.250 0.500
Ta: 0.000 0.000 0.000
Ta: 0.250 0.750 0.500

Summary:
Energy relative to the elements, uncorrected ... 97 meV/atom
M_tot ... 0.00 μB/cell
Density of states at the Fermi level ... 1.08 states/eV/atom
ρ ... 13.5 Mg/m³
VASP energy ... -9.020 eV/atom


Hf2SbOs2: optimized geometry, PBE-GGA.

abc: 7.686 7.686 3.211
angles: 90.00 90.00 90.00
Positions (direct):
Hf: 0.156 0.656 0.500
Hf: 0.656 0.844 0.500
Hf: 0.844 0.344 0.500
Hf: 0.344 0.156 0.500
Os: 0.362 0.862 0.000
Os: 0.862 0.638 0.000
Os: 0.638 0.138 0.000
Os: 0.138 0.362 0.000
Sb: 0.000 0.000 0.000
Sb: 0.500 0.500 0.000

Summary:
Energy relative to the elements, uncorrected ... -227 meV/atom
M_tot ... 0.00 μB/cell
Density of states at the Fermi level ... 0.83 states/eV/atom
ρ ... 15.0 Mg/m³
VASP energy ... -9.525 eV/atom


Rb2ZrGaCl6: optimized geometry, PBE-GGA.

abc: 7.710 7.710 7.710
angles: 60.00 60.00 90.00
Positions (direct):
Ga: 0.500 0.500 0.000
Rb: 0.750 0.250 0.500
Rb: 0.250 0.750 0.500
Zr: 0.000 0.000 0.000
Cl: 0.234 0.234 0.531
Cl: 0.766 0.766 0.469
Cl: 0.234 0.234 0.000
Cl: 0.766 0.766 0.000
Cl: 0.766 0.234 0.000
Cl: 0.234 0.766 0.000

Summary:
Energy relative to the elements, uncorrected ... -1586 meV/atom
M_tot ... 1.00 μB/cell
Density of states at the Fermi level ... 1.09 states/eV/atom
ρ ... 2.8 Mg/m³
VASP energy ... -4.045 eV/atom
Energy above the lowest structure with this stoichiometry ... 0.05 eV per formula unit


TmU2PaAs4: optimized geometry, PBE-GGA.

abc: 4.051 7.015 7.168
angles: 109.06 90.00 90.00
Positions (direct):
Tm: 0.500 0.500 0.000
U: 0.500 0.000 0.500
U: 0.000 0.500 0.500
Pa: 0.000 0.000 0.000
As: 0.500 0.252 0.248
As: 0.500 0.748 0.752
As: 0.000 0.252 0.753
As: 0.000 0.748 0.247

Summary:
ΔH_f (0 K) ... -995 meV/atom
M_tot ... 5.49 μB/cell
Density of states at the Fermi level ... 1.68 states/eV/atom
ρ ... 10.1 Mg/m³
VASP energy ... -7.887 eV/atom


TaAlMo2: optimized geometry, PBE-GGA.

abc: 3.327 3.327 5.893
angles: 90.00 90.00 90.00
Positions (direct):
Mo: 0.000 0.000 0.997
Mo: 0.500 0.500 0.247
Al: 0.500 0.500 0.760
Ta: 0.000 0.000 0.496

Summary:
ΔH_f (0 K) ... -82 meV/atom
M_tot ... 0.00 μB/cell
Density of states at the Fermi level ... 0.86 states/eV/atom
ρ ... 10.2 Mg/m³
VASP energy ... -9.396 eV/atom


NaTmTlCd: optimized geometry, PBE-GGA.

abc: 5.239 5.239 5.239
angles: 60.00 60.00 60.00
Positions (direct):
Na: 0.000 0.000 0.000
Tl: 0.250 0.250 0.250
Tm: 0.500 0.500 0.500
Cd: 0.750 0.750 0.750

Summary:
ΔH_f (0 K) ... -170 meV/atom
M_tot ... 0.00 μB/cell
Density of states at the Fermi level ... 0.66 states/eV/atom
ρ ... 8.3 Mg/m³
VASP energy ... -2.438 eV/atom
Energy above the lowest structure with this stoichiometry ... 0.02 eV per formula unit


Cd2GaRe2: optimized geometry, PBE-GGA.

abc: 6.413 6.413 4.531
angles: 90.00 90.00 90.00
Positions (direct):
Re: 0.369 0.869 0.000
Re: 0.869 0.631 0.000
Re: 0.631 0.131 0.000
Re: 0.131 0.369 0.000
Ga: 0.000 0.000 0.000
Ga: 0.500 0.500 0.000
Cd: 0.172 0.672 0.500
Cd: 0.672 0.828 0.500
Cd: 0.828 0.328 0.500
Cd: 0.328 0.172 0.500

Summary:
ΔH_f (0 K) ... 446 meV/atom
M_tot ... 0.00 μB/cell
Density of states at the Fermi level ... 0.75 states/eV/atom
ρ ... 11.9 Mg/m³
VASP energy ... -5.505 eV/atom
Energy above the lowest structure with this stoichiometry ... 0.00 eV per formula unit


Q: What is the VASP energy in the twelfth record?
A: -5.505 eV/atom


Q: Which of these has the lowest ρ?
A: Rb2ZrGaCl6